# 1
Here is an optimized crystal structure of LiSc2AsPd from Alexandria. Energies are from PBE.

a b c (Å): 5.038 4.367 5.038
angles (deg): 90.00 90.00 90.00
Sites, in units of the cell vectors:
Sc1 0.000 0.000 0.500
Sc2 0.500 0.000 0.000
As1 0.000 0.000 0.000
Pd1 0.500 0.500 0.500
Li1 0.000 0.500 0.000

DFT total energy in eV/atom: -5.21
Total magnetic moment in μB/f.u.: 0.001
Volume in Å³/f.u.: 110.8

=====

# 2
Here is an optimized crystal structure of ZnCrOs2 from Alexandria. Energies are from PBE.

a b c (Å): 3.885 2.718 5.851
angles (deg): 62.33 90.00 90.00
Sites, in units of the cell vectors:
Cr1 0.500 0.763 0.741
Os1 0.000 0.999 0.000
Os2 0.500 0.244 0.254
Zn1 0.000 0.495 0.505

DFT total energy in eV/atom: -8.14
Total magnetic moment in μB/f.u.: 1.093
Volume in Å³/f.u.: 54.7

=====

# 3
Here is an optimized crystal structure of LaFe2Br from Alexandria. Energies are from PBE.

a b c (Å): 3.360 3.360 7.670
angles (deg): 90.00 90.00 90.02
Sites, in units of the cell vectors:
Br1 0.500 0.500 0.745
Fe1 0.000 0.000 0.085
Fe2 0.500 0.500 0.196
La1 0.000 0.000 0.473

DFT total energy in eV/atom: -5.90
Total magnetic moment in μB/f.u.: 4.933
ΔE to the lowest computed polymorph in eV per atom: 0.088
Formation energy without anion corrections in eV per formula unit: -0.09
Volume in Å³/f.u.: 86.6

=====

# 4
Here is an optimized crystal structure of Rb2GaAuCl6 from Alexandria. Energies are from PBE.

a b c (Å): 6.777 9.018 8.489
angles (deg): 79.56 52.41 71.19
Sites, in units of the cell vectors:
Rb1 0.474 0.602 0.301
Rb2 0.176 0.135 0.741
Ga1 0.361 0.197 0.165
Au1 0.723 0.646 0.715
Cl1 0.629 0.195 0.237
Cl2 0.162 0.015 0.340
Cl3 0.091 0.432 0.244
Cl4 0.465 0.772 0.616
Cl5 0.592 0.145 0.845
Cl6 0.987 0.522 0.811

DFT total energy in eV/atom: -3.26
Total magnetic moment in μB/f.u.: 0.000
ΔE to the lowest computed polymorph in eV per atom: 0.000
Formation energy without anion corrections in eV per formula unit: -13.32
Volume in Å³/f.u.: 389.1

=====

# 5
Here is an optimized crystal structure of Np4FeGe8 from Alexandria. Energies are from PBE.

a b c (Å): 3.996 4.201 15.436
angles (deg): 90.62 90.00 90.00
Sites, in units of the cell vectors:
Np1 0.000 0.995 0.093
Np2 0.000 0.512 0.609
Np3 0.500 0.502 0.392
Np4 0.500 0.988 0.901
Fe1 0.000 0.007 0.311
Ge1 0.000 0.005 0.462
Ge2 0.000 0.488 0.938
Ge3 0.500 0.493 0.054
Ge4 0.500 0.011 0.570
Ge5 0.000 0.502 0.232
Ge6 0.000 0.025 0.754
Ge7 0.500 0.998 0.230
Ge8 0.500 0.474 0.757

DFT total energy in eV/atom: -7.63
Total magnetic moment in μB/f.u.: 5.694
Volume in Å³/f.u.: 259.1

=====

# 6
Here is an optimized crystal structure of SrRe2Pt from Alexandria. Energies are from PBE.

a b c (Å): 2.769 2.769 9.407
angles (deg): 90.00 90.00 90.00
Sites, in units of the cell vectors:
Pt1 0.500 0.500 0.750
Re1 0.000 0.000 0.963
Re2 0.000 0.000 0.537
Sr1 0.500 0.500 0.250

DFT total energy in eV/atom: -7.49
Total magnetic moment in μB/f.u.: 0.000
ΔE to the lowest computed polymorph in eV per atom: 0.425
Volume in Å³/f.u.: 72.1

=====

# 7
Here is an optimized crystal structure of ErLuInTc from Alexandria. Energies are from PBE.

a b c (Å): 5.001 5.001 5.001
angles (deg): 60.00 60.00 60.00
Sites, in units of the cell vectors:
Lu1 0.750 0.750 0.750
In1 0.000 0.000 0.000
Tc1 0.500 0.500 0.500
Er1 0.250 0.250 0.250

DFT total energy in eV/atom: -5.74
Total magnetic moment in μB/f.u.: 0.002
Volume in Å³/f.u.: 88.4

=====

# 8
Here is an optimized crystal structure of SiHgMo2 from Alexandria. Energies are from PBE.

a b c (Å): 3.905 2.880 6.236
angles (deg): 71.83 90.00 90.00
Sites, in units of the cell vectors:
Hg1 0.500 0.750 0.750
Mo1 0.000 0.029 0.046
Mo2 0.000 0.471 0.454
Si1 0.500 0.250 0.250

DFT total energy in eV/atom: -6.57
Total magnetic moment in μB/f.u.: 0.000
ΔE to the lowest computed polymorph in eV per atom: 0.103
Formation energy without anion corrections in eV per formula unit: 1.10
Volume in Å³/f.u.: 66.6

=====

# 9
Here is an optimized crystal structure of SmHfCd4 from Alexandria. Energies are from PBE.

a b c (Å): 5.813 5.813 5.813
angles (deg): 60.00 60.00 60.00
Sites, in units of the cell vectors:
Hf1 0.000 0.000 0.000
Sm1 0.250 0.250 0.250
Cd1 0.625 0.625 0.124
Cd2 0.625 0.124 0.625
Cd3 0.625 0.625 0.625
Cd4 0.124 0.625 0.625

DFT total energy in eV/atom: -3.10
Total magnetic moment in μB/f.u.: 1.822
Volume in Å³/f.u.: 138.9

=====

# 10
Here is an optimized crystal structure of LaAlCr2 from Alexandria. Energies are from PBE.

a b c (Å): 4.892 4.892 4.892
angles (deg): 60.00 60.00 60.00
Sites, in units of the cell vectors:
Cr1 0.000 0.000 0.000
Cr2 0.250 0.250 0.250
Al1 0.500 0.500 0.500
La1 0.750 0.750 0.750

DFT total energy in eV/atom: -6.70
Total magnetic moment in μB/f.u.: 0.113
Volume in Å³/f.u.: 82.8

=====

# 11
Here is an optimized crystal structure of K3Bi5Sb2 from Alexandria. Energies are from PBE.

a b c (Å): 7.648 11.220 11.220
angles (deg): 71.17 70.07 70.07
Sites, in units of the cell vectors:
K1 0.250 0.000 0.000
K2 0.750 0.000 0.000
K3 0.359 0.416 0.866
K4 0.641 0.584 0.134
K5 0.859 0.866 0.416
K6 0.141 0.134 0.584
Bi1 0.250 0.500 0.500
Bi2 0.750 0.500 0.500
Bi3 0.476 0.774 0.774
Bi4 0.024 0.226 0.226
Bi5 0.524 0.226 0.226
Bi6 0.976 0.774 0.774
Bi7 0.136 0.471 0.257
Bi8 0.864 0.529 0.743
Bi9 0.636 0.257 0.471
Bi10 0.364 0.743 0.529
Sb1 0.140 0.707 0.012
Sb2 0.860 0.293 0.988
Sb3 0.640 0.012 0.707
Sb4 0.360 0.988 0.293

DFT total energy in eV/atom: -3.29
Total magnetic moment in μB/f.u.: 0.000
Formation energy without anion corrections in eV per formula unit: -2.00
Volume in Å³/f.u.: 413.7

=====

# 12
Here is an optimized crystal structure of ScRuPb2 from Alexandria. Energies are from PBE.

a b c (Å): 3.430 3.431 7.230
angles (deg): 90.00 90.00 90.00
Sites, in units of the cell vectors:
Pb1 0.000 0.000 0.026
Pb2 0.000 0.000 0.474
Ru1 0.500 0.500 0.250
Sc1 0.500 0.500 0.750

DFT total energy in eV/atom: -5.67
Total magnetic moment in μB/f.u.: 0.292
ΔE to the lowest computed polymorph in eV per atom: 0.209
Volume in Å³/f.u.: 85.1

=====

# 13
Here is an optimized crystal structure of SrZnCr2Ir from Alexandria. Energies are from PBE.

a b c (Å): 4.804 4.804 4.805
angles (deg): 90.00 90.00 90.00
Sites, in units of the cell vectors:
Sr1 0.500 0.500 0.500
Zn1 0.000 0.000 0.000
Ir1 0.000 0.000 0.500
Cr1 0.000 0.500 0.000
Cr2 0.500 0.000 0.000

DFT total energy in eV/atom: -5.47
Total magnetic moment in μB/f.u.: 8.909
ΔE to the lowest computed polymorph in eV per atom: 0.311
Volume in Å³/f.u.: 110.9

=====

# 14
Here is an optimized crystal structure of NaCd6Pt from Alexandria. Energies are from PBE.

a b c (Å): 4.680 6.114 6.114
angles (deg): 104.04 90.00 90.00
Sites, in units of the cell vectors:
Na1 0.500 0.112 0.888
Cd1 0.500 0.177 0.391
Cd2 0.500 0.609 0.823
Cd3 0.000 0.403 0.194
Cd4 0.000 0.806 0.597
Cd5 0.000 0.317 0.683
Cd6 0.000 0.882 0.118
Pt1 0.500 0.693 0.307

DFT total energy in eV/atom: -1.72
Total magnetic moment in μB/f.u.: 0.000
Volume in Å³/f.u.: 169.7

=====

# 15
Here is an optimized crystal structure of Sc8Tc2Pb from Alexandria. Energies are from PBE.

a b c (Å): 4.889 6.604 8.663
angles (deg): 115.08 106.74 89.64
Sites, in units of the cell vectors:
Sc1 0.647 0.281 0.939
Sc2 0.963 0.017 0.565
Sc3 0.313 0.371 0.257
Sc4 0.734 0.896 0.110
Sc5 0.342 0.864 0.320
Sc6 0.930 0.424 0.486
Sc7 0.113 0.514 0.883
Sc8 0.515 0.731 0.662
Tc1 0.816 0.625 0.266
Tc2 0.494 0.307 0.606
Pb1 0.134 0.971 0.907

DFT total energy in eV/atom: -7.03
Total magnetic moment in μB/f.u.: 0.000
Volume in Å³/f.u.: 240.4

=====

# 16
Here is an optimized crystal structure of Ni16Pd7Pt6 from Alexandria. Energies are from PBE.

a b c (Å): 8.347 8.347 8.347
angles (deg): 60.00 60.00 60.00
Sites, in units of the cell vectors:
Ni1 0.870 0.870 0.390
Ni2 0.870 0.870 0.870
Ni3 0.870 0.390 0.870
Ni4 0.390 0.870 0.870
Ni5 0.130 0.130 0.130
Ni6 0.130 0.130 0.610
Ni7 0.130 0.610 0.130
Ni8 0.610 0.130 0.130
Ni9 0.615 0.615 0.156
Ni10 0.615 0.615 0.615
Ni11 0.615 0.156 0.615
Ni12 0.156 0.615 0.615
Ni13 0.385 0.385 0.385
Ni14 0.385 0.385 0.844
Ni15 0.385 0.844 0.385
Ni16 0.844 0.385 0.385
Pd1 0.000 0.000 0.000
Pd2 0.500 0.000 0.500
Pd3 0.000 0.500 0.000
Pd4 0.000 0.500 0.500
Pd5 0.500 0.000 0.000
Pd6 0.000 0.000 0.500
Pd7 0.500 0.500 0.000
Pt1 0.244 0.756 0.244
Pt2 0.756 0.244 0.756
Pt3 0.756 0.244 0.244
Pt4 0.244 0.756 0.756
Pt5 0.756 0.756 0.244
Pt6 0.244 0.244 0.756

DFT total energy in eV/atom: -5.52
Total magnetic moment in μB/f.u.: 13.999
Volume in Å³/f.u.: 411.2

=====

# 17
Here is an optimized crystal structure of SrGa2I4 from Alexandria. Energies are from PBE.

a b c (Å): 4.749 9.131 8.307
angles (deg): 63.59 89.73 74.61
Sites, in units of the cell vectors:
I1 0.875 0.256 0.557
I2 0.125 0.744 0.443
I3 0.627 0.751 0.973
I4 0.373 0.249 0.027
Sr1 0.000 0.000 0.000
Ga1 0.729 0.537 0.708
Ga2 0.271 0.463 0.292

DFT total energy in eV/atom: -2.89
Total magnetic moment in μB/f.u.: 0.000
ΔE to the lowest computed polymorph in eV per atom: 0.000
Formation energy without anion corrections in eV per formula unit: -6.30
Volume in Å³/f.u.: 308.4

=====

# 18
Here is an optimized crystal structure of Ho5InN6 from Alexandria. Energies are from PBE.

a b c (Å): 5.951 5.954 5.947
angles (deg): 59.96 80.35 70.43
Sites, in units of the cell vectors:
N1 0.748 0.084 0.340
N2 0.252 0.576 0.340
N3 0.257 0.255 0.000
N4 0.743 0.745 0.000
N5 0.748 0.424 0.660
N6 0.252 0.916 0.660
Ho1 0.500 0.166 0.668
Ho2 0.000 0.333 0.334
Ho3 0.500 0.500 0.000
Ho4 0.000 0.667 0.666
Ho5 0.500 0.834 0.332
In1 0.000 0.000 0.000

DFT total energy in eV/atom: -7.70
Total magnetic moment in μB/f.u.: 0.000
Formation energy without anion corrections in eV per formula unit: -16.81
Volume in Å³/f.u.: 171.9

=====

# 19
Here is an optimized crystal structure of Ba4SrAc from Alexandria. Energies are from PBE.

a b c (Å): 4.288 4.288 18.863
angles (deg): 90.00 90.00 89.97
Sites, in units of the cell vectors:
Ba1 0.500 0.500 0.170
Ba2 0.500 0.500 0.830
Ba3 0.000 0.000 0.653
Ba4 0.000 0.000 0.347
Sr1 0.000 0.000 0.000
Ac1 0.500 0.500 0.500

DFT total energy in eV/atom: -2.20
Total magnetic moment in μB/f.u.: 0.000
Volume in Å³/f.u.: 346.8

=====

# 20
Here is an optimized crystal structure of Pa3Tc2Ge3 from Alexandria. Energies are from PBE.

a b c (Å): 4.170 4.441 9.093
angles (deg): 104.14 103.25 90.00
Sites, in units of the cell vectors:
Pa1 0.638 0.638 0.276
Pa2 0.362 0.362 0.724
Pa3 0.500 0.000 0.000
Tc1 0.751 0.251 0.502
Tc2 0.249 0.749 0.498
Ge1 0.157 0.157 0.314
Ge2 0.000 0.500 0.000
Ge3 0.843 0.843 0.686

DFT total energy in eV/atom: -8.26
Total magnetic moment in μB/f.u.: 0.000
ΔE to the lowest computed polymorph in eV per atom: 0.063
Volume in Å³/f.u.: 158.7

=====

# 21
Here is an optimized crystal structure of ZrTl2Cu from Alexandria. Energies are from PBE.

a b c (Å): 4.507 3.240 6.281
angles (deg): 74.93 90.00 90.00
Sites, in units of the cell vectors:
Cu1 0.500 0.946 0.720
Tl1 0.000 0.823 0.983
Tl2 0.500 0.180 0.272
Zr1 0.000 0.551 0.526

DFT total energy in eV/atom: -4.16
Total magnetic moment in μB/f.u.: 0.000
ΔE to the lowest computed polymorph in eV per atom: 0.103
Volume in Å³/f.u.: 88.6

=====

# 22
Here is an optimized crystal structure of Li3ThPt3 from Alexandria. Energies are from PBE.

a b c (Å): 6.337 6.337 6.337
angles (deg): 90.00 90.00 90.00
Sites, in units of the cell vectors:
Pt1 0.250 0.000 0.500
Pt2 0.000 0.500 0.250
Pt3 0.500 0.750 0.000
Pt4 0.750 0.000 0.500
Pt5 0.000 0.500 0.750
Pt6 0.500 0.250 0.000
Th1 0.500 0.500 0.500
Th2 0.000 0.000 0.000
Li1 0.000 0.250 0.500
Li2 0.000 0.750 0.500
Li3 0.500 0.000 0.750
Li4 0.750 0.500 0.000
Li5 0.500 0.000 0.250
Li6 0.250 0.500 0.000

DFT total energy in eV/atom: -4.53
Total magnetic moment in μB/f.u.: 0.000
Volume in Å³/f.u.: 127.3

=====

# 23
Here is an optimized crystal structure of Cs3ZnBi from Alexandria. Energies are from PBE.

a b c (Å): 6.088 9.720 11.876
angles (deg): 90.00 90.00 108.28
Sites, in units of the cell vectors:
Cs1 0.163 0.827 0.432
Cs2 0.837 0.173 0.568
Cs3 0.163 0.827 0.068
Cs4 0.837 0.173 0.932
Cs5 0.599 0.699 0.750
Cs6 0.401 0.301 0.250
Zn1 0.388 0.273 0.750
Zn2 0.612 0.727 0.250
Bi1 0.238 0.977 0.750
Bi2 0.762 0.023 0.250

DFT total energy in eV/atom: -1.74
Total magnetic moment in μB/f.u.: 0.000
ΔE to the lowest computed polymorph in eV per atom: 0.000
Volume in Å³/f.u.: 333.6

=====

# 24
Here is an optimized crystal structure of ErHfTl from Alexandria. Energies are from PBE.

a b c (Å): 3.439 3.439 6.846
angles (deg): 104.55 104.55 90.00
Sites, in units of the cell vectors:
Tl1 0.672 0.672 0.344
Hf1 0.329 0.329 0.658
Er1 0.999 0.999 0.998

DFT total energy in eV/atom: -5.68
Total magnetic moment in μB/f.u.: 0.000
ΔE to the lowest computed polymorph in eV per atom: 0.000
Volume in Å³/f.u.: 75.7